# 1
First-principles (PBEsol) data for a relaxed Y3HgTe crystal, as listed in Alexandria.

**Uncorrected energy**: -5.06 eV per atom
**Density of states at the Fermi level**: 3.8 states/eV/cell
**Formation energy (no corrections)**: -0.151 eV/atom

Cell: 5.514 5.514 5.514 Å, 90.00 90.00 90.00°
Positions (direct):
Y  0.000  0.000  0.500
Y  0.000  0.500  0.000
Y  0.500  0.000  0.000
Hg  0.000  0.000  0.000
Te  0.500  0.500  0.500

# 2
First-principles (PBEsol) data for a relaxed CaBe2RePd crystal, as listed in Alexandria.

**Uncorrected energy**: -3.37 eV per atom
**Density of states at the Fermi level**: 3.0 states/eV/cell
**Formation enthalpy at 0 K**: 242.8 kJ per mole of atoms

Cell: 4.408 4.408 4.465 Å, 90.00 90.00 90.00°
Positions (direct):
Ca  0.000  0.000  0.000
Be  0.000  0.500  0.000
Be  0.500  0.000  0.000
Re  0.000  0.000  0.500
Pd  0.500  0.500  0.500

# 3
First-principles (PBEsol) data for a relaxed Mg2InRuW crystal, as listed in Alexandria.

**Uncorrected energy**: -4.08 eV per atom
**Density of states at the Fermi level**: 6.8 states/eV/cell
**Formation enthalpy at 0 K**: 193.0 kJ per mole of atoms

Cell: 4.770 4.770 5.046 Å, 90.00 90.00 90.00°
Positions (direct):
Mg  0.000  0.500  0.000
Mg  0.500  0.000  0.000
In  0.000  0.000  0.000
Ru  0.500  0.500  0.500
W  0.000  0.000  0.500

# 4
First-principles (PBEsol) data for a relaxed CdRe2Au crystal, as listed in Alexandria.

**Uncorrected energy**: -7.24 eV per atom
**Density of states at the Fermi level**: 3.9 states/eV/cell
**Formation enthalpy at 0 K**: 68.5 kJ per mole of atoms

Cell: 2.697 2.697 8.834 Å, 90.00 90.00 90.00°
Positions (direct):
Cd  0.000  0.000  0.000
Re  0.500  0.500  0.259
Re  0.500  0.500  0.741
Au  0.000  0.000  0.500

# 5
First-principles (PBEsol) data for a relaxed USnPt crystal, as listed in Alexandria.

**Uncorrected energy**: -8.18 eV per atom
**Density of states at the Fermi level**: 19.9 states/eV/cell
**Formation enthalpy at 0 K**: -37.3 kJ per mole of atoms

Cell: 7.282 7.282 4.133 Å, 90.00 90.00 120.00°
Positions (direct):
U  0.000  0.585  0.000
U  0.415  0.415  0.000
U  0.585  0.000  0.000
Sn  0.000  0.254  0.500
Sn  0.254  0.000  0.500
Sn  0.746  0.746  0.500
Pt  0.000  0.000  0.000
Pt  0.333  0.667  0.500
Pt  0.667  0.333  0.500

# 6
First-principles (PBEsol) data for a relaxed KBaSr crystal, as listed in Alexandria.

**Uncorrected energy**: -1.62 eV per atom
**Density of states at the Fermi level**: 4.0 states/eV/cell
**Offset from the most stable computed form**: 0.0167 eV/atom
**Formation enthalpy at 0 K**: 8.1 kJ per mole of atoms

Cell: 10.449 10.449 10.449 Å, 156.65 156.65 33.26°
Positions (direct):
K  0.000  0.000  0.000
Ba  0.325  0.325  0.000
Sr  0.668  0.668  0.000

# 7
First-principles (PBEsol) data for a relaxed KSi2Cl crystal, as listed in Alexandria.

**Uncorrected energy**: -4.03 eV per atom
**Density of states at the Fermi level**: 1.1 states/eV/cell
**Formation energy (no corrections)**: -0.375 eV/atom
**Offset from the most stable computed form**: 0.0000 eV/atom

Cell: 3.471 7.718 7.718 Å, 26.14 90.00 90.00°
Positions (direct):
K  0.000  0.000  0.000
Si  0.000  0.304  0.304
Si  0.500  0.770  0.770
Cl  0.500  0.612  0.612

# 8
First-principles (PBEsol) data for a relaxed LiCa2Au crystal, as listed in Alexandria.

**Uncorrected energy**: -2.90 eV per atom
**Density of states at the Fermi level**: 3.0 states/eV/cell
**Formation enthalpy at 0 K**: -34.5 kJ per mole of atoms

Cell: 6.450 6.450 6.450 Å, 147.26 133.70 57.86°
Positions (direct):
Li  0.000  0.000  0.000
Ca  0.393  0.393  0.000
Ca  0.687  0.187  0.500
Au  0.175  0.675  0.500